i:
Tb2DyCo2 after structural relaxation, computed with PBE.

a = 10.822 Å, b = 5.834 Å, c = 7.289 Å
α = 90.00°, β = 102.11°, γ = 90.00°
Space group C2/c (No. 15)
Inequivalent atoms, fractional coordinates:
Tb: 0.159 0.114 0.151
Dy: 0.000 0.413 0.750
Co: 0.167 0.358 0.515


ii:
Tb2DyCo2 after structural relaxation, computed with PBE.

a = 7.198 Å, b = 7.198 Å, c = 8.395 Å
α = 90.00°, β = 90.00°, γ = 90.00°
Space group P4/mnc (No. 128)
Inequivalent atoms, fractional coordinates:
Tb: 0.173 0.327 0.000
Dy: 0.000 0.000 0.250
Co: 0.111 0.611 0.250


Relative stability in meV/atom, measured from the most stable structure: i 0; ii 26


i:
Tb3DyCo2 after structural relaxation, computed with PBE.

a = 16.466 Å, b = 3.751 Å, c = 11.611 Å
α = 90.00°, β = 124.28°, γ = 90.00°
Space group C2/m (No. 12)
Inequivalent atoms, fractional coordinates:
Tb: 0.084 0.000 0.440
Tb: 0.084 0.000 0.942
Tb: 0.160 0.500 0.748
Dy: 0.160 0.500 0.248
Co: 0.233 0.500 0.548
Co: 0.234 0.500 0.049


ii:
Tb3DyCo2 after structural relaxation, computed with PBE.

a = 6.563 Å, b = 13.215 Å, c = 6.916 Å
α = 90.00°, β = 90.00°, γ = 90.00°
Space group Ibam (No. 72)
Inequivalent atoms, fractional coordinates:
Tb: 0.000 0.000 0.250
Tb: 0.000 0.264 0.250
Dy: 0.000 0.500 0.000
Co: 0.221 0.135 0.000


Relative stability in meV/atom, measured from the most stable structure: i 0; ii 89


i:
TbDy2Co2 after structural relaxation, computed with PBE.

a = 11.256 Å, b = 3.730 Å, c = 5.504 Å
α = 90.00°, β = 103.80°, γ = 90.00°
Space group C2/m (No. 12)
Inequivalent atoms, fractional coordinates:
Tb: 0.000 0.000 0.000
Dy: 0.148 0.500 0.582
Co: 0.218 0.500 0.104


ii:
TbDy2Co2 after structural relaxation, computed with PBE.

a = 3.907 Å, b = 14.602 Å, c = 3.910 Å
α = 90.00°, β = 90.00°, γ = 90.00°
Space group Cmmm (No. 65)
Inequivalent atoms, fractional coordinates:
Tb: 0.000 0.000 0.000
Dy: 0.000 0.349 0.500
Co: 0.000 0.203 0.000


Relative stability in meV/atom, measured from the most stable structure: i 73; ii 0


i:
DyCoTc after structural relaxation, computed with PBE.

a = 4.970 Å, b = 5.413 Å, c = 7.597 Å
α = 90.00°, β = 90.00°, γ = 90.00°
Space group Imma (No. 74)
Inequivalent atoms, fractional coordinates:
Dy: 0.000 0.250 0.121
Co: 0.000 0.000 0.500
Tc: 0.250 0.250 0.750


ii:
DyCoTc after structural relaxation, computed with PBE.

a = 6.703 Å, b = 6.703 Å, c = 5.599 Å
α = 90.00°, β = 90.00°, γ = 90.00°
Space group P4_12_12 (No. 92)
Inequivalent atoms, fractional coordinates:
Dy: 0.231 0.231 0.000
Co: 0.174 0.826 0.750
Tc: 0.086 0.086 0.500


Relative stability in meV/atom, measured from the most stable structure: i 0; ii 418


i:
Dy3CoTe after structural relaxation, computed with PBE.

a = 8.119 Å, b = 3.933 Å, c = 8.446 Å
α = 90.00°, β = 106.43°, γ = 90.00°
Space group P2_1/m (No. 11)
Inequivalent atoms, fractional coordinates:
Dy: 0.065 0.250 0.249
Dy: 0.303 0.250 0.930
Dy: 0.309 0.750 0.593
Co: 0.059 0.250 0.581
Te: 0.383 0.750 0.239


ii:
Dy3CoTe after structural relaxation, computed with PBE.

a = 4.037 Å, b = 15.949 Å, c = 8.384 Å
α = 90.00°, β = 90.00°, γ = 90.00°
Space group Cmc2_1 (No. 36)
Inequivalent atoms, fractional coordinates:
Dy: 0.000 0.073 0.000
Dy: 0.000 0.228 0.579
Dy: 0.000 0.394 0.832
Co: 0.000 0.188 0.223
Te: 0.000 0.424 0.197


Relative stability in meV/atom, measured from the most stable structure: i 0; ii 158


i:
DyTh2Co after structural relaxation, computed with PBE.

a = 3.8173 Å, b = 3.8173 Å, c = 26.8602 Å
α = 90.00°, β = 90.00°, γ = 120.00°
Space group R3m (No. 160, hexagonal axes)
Inequivalent atoms, fractional coordinates:
Dy: 0.0000 0.0000 0.0000
Th: 0.0000 0.0000 0.5613
Th: 0.0000 0.0000 0.7749
Co: 0.0000 0.0000 0.1673


ii:
DyTh2Co after structural relaxation, computed with PBE.

a = 3.541 Å, b = 3.541 Å, c = 8.446 Å
α = 90.00°, β = 90.00°, γ = 90.00°
Space group P4/mmm (No. 123)
Inequivalent atoms, fractional coordinates:
Dy: 0.000 0.000 0.000
Th: 0.500 0.500 0.309
Co: 0.000 0.000 0.500


Relative stability in meV/atom, measured from the most stable structure: i 0; ii 76


i:
DyTh2Co after structural relaxation, computed with PBE.

a = 6.999 Å, b = 9.856 Å, c = 6.174 Å
α = 90.00°, β = 90.00°, γ = 90.00°
Space group Pnma (No. 62)
Inequivalent atoms, fractional coordinates:
Dy: 0.044 0.250 0.159
Th: 0.177 0.068 0.669
Co: 0.105 0.750 0.382


ii:
DyTh2Co after structural relaxation, computed with PBE.

a = 3.7285 Å, b = 3.7285 Å, c = 30.1387 Å
α = 90.00°, β = 90.00°, γ = 120.00°
Space group R-3m (No. 166, hexagonal axes)
Inequivalent atoms, fractional coordinates:
Dy: 0.0000 0.0000 0.0000
Th: 0.0000 0.0000 0.1129
Co: 0.0000 0.0000 0.5000


Relative stability in meV/atom, measured from the most stable structure: i 0; ii 309


i:
DyThCo2 after structural relaxation, computed with PBE.

a = 3.8500 Å, b = 3.8500 Å, c = 19.4625 Å
α = 90.00°, β = 90.00°, γ = 120.00°
Space group R-3m (No. 166, hexagonal axes)
Inequivalent atoms, fractional coordinates:
Dy: 0.0000 0.0000 0.0000
Th: 0.0000 0.0000 0.5000
Co: 0.0000 0.0000 0.2480


ii:
DyThCo2 after structural relaxation, computed with PBE.

a = 3.774 Å, b = 3.939 Å, c = 5.681 Å
α = 90.00°, β = 109.32°, γ = 90.00°
Space group Pm (No. 6)
Inequivalent atoms, fractional coordinates:
Dy: 0.000 0.000 0.000
Th: 0.276 0.500 0.552
Co: 0.565 0.500 0.129
Co: 0.721 0.000 0.442


iii:
DyThCo2 after structural relaxation, computed with PBE.

a = 3.419 Å, b = 3.419 Å, c = 6.772 Å
α = 90.00°, β = 90.00°, γ = 90.00°
Space group P4/mmm (No. 123)
Inequivalent atoms, fractional coordinates:
Dy: 0.000 0.000 0.000
Th: 0.000 0.000 0.500
Co: 0.500 0.500 0.269


Relative stability in meV/atom, measured from the most stable structure: i 201; ii 0; iii 113


i:
Dy2ThCo after structural relaxation, computed with PBE.

a = 6.928 Å, b = 9.633 Å, c = 6.295 Å
α = 90.00°, β = 90.00°, γ = 90.00°
Space group Pnma (No. 62)
Inequivalent atoms, fractional coordinates:
Dy: 0.170 0.070 0.175
Th: 0.053 0.250 0.662
Co: 0.130 0.750 0.969


ii:
Dy2ThCo after structural relaxation, computed with PBE.

a = 3.5219 Å, b = 3.5219 Å, c = 30.9773 Å
α = 90.00°, β = 90.00°, γ = 120.00°
Space group R-3m (No. 166, hexagonal axes)
Inequivalent atoms, fractional coordinates:
Dy: 0.0000 0.0000 0.1123
Th: 0.0000 0.0000 0.0000
Co: 0.0000 0.0000 0.5000


iii:
Dy2ThCo after structural relaxation, computed with PBE.

a = 3.646 Å, b = 9.655 Å, c = 6.229 Å
α = 90.00°, β = 106.93°, γ = 90.00°
Space group P2_1/m (No. 11)
Inequivalent atoms, fractional coordinates:
Dy: 0.141 0.072 0.279
Th: 0.409 0.250 0.819
Co: 0.246 0.750 0.493


Relative stability in meV/atom, measured from the most stable structure: i 0; ii 391; iii 37


i:
Dy3ThCo after structural relaxation, computed with PBE.

a = 11.384 Å, b = 8.318 Å, c = 6.134 Å
α = 90.00°, β = 105.60°, γ = 90.00°
Space group C2/m (No. 12)
Inequivalent atoms, fractional coordinates:
Dy: 0.134 0.000 0.235
Dy: 0.146 0.207 0.738
Th: 0.083 0.500 0.288
Co: 0.175 0.500 0.948


ii:
Dy3ThCo after structural relaxation, computed with PBE.

a = 5.258 Å, b = 5.258 Å, c = 5.258 Å
α = 90.00°, β = 90.00°, γ = 90.00°
Space group Pm-3m (No. 221)
Inequivalent atoms, fractional coordinates:
Dy: 0.000 0.000 0.500
Th: 0.500 0.500 0.500
Co: 0.000 0.000 0.000


Relative stability in meV/atom, measured from the most stable structure: i 0; ii 147


i:
DyTiCo after structural relaxation, computed with PBE.

a = 4.265 Å, b = 4.265 Å, c = 6.247 Å
α = 90.00°, β = 90.00°, γ = 90.00°
Space group P4/nmm (No. 129, origin choice 2)
Inequivalent atoms, fractional coordinates:
Dy: 0.250 0.250 0.134
Ti: 0.250 0.750 0.500
Co: 0.250 0.250 0.693


ii:
DyTiCo after structural relaxation, computed with PBE.

a = 5.624 Å, b = 8.285 Å, c = 9.578 Å
α = 90.00°, β = 90.00°, γ = 90.00°
Space group Fmmm (No. 69)
Inequivalent atoms, fractional coordinates:
Dy: 0.000 0.183 0.000
Ti: 0.000 0.000 0.311
Co: 0.250 0.250 0.250


Relative stability in meV/atom, measured from the most stable structure: i 0; ii 178